No. 1
The following is a SCAN calculation of a PBEsol-optimized structure of YTl2Te, from Alexandria.

a = 4.703 Å, b = 4.714 Å, c = 9.566 Å
α = 90.00°, β = 90.00°, γ = 90.00°
Space group Imm2 (No. 44)
Inequivalent atoms, fractional coordinates:
Y  0.000  0.000  0.000 x2
Tl  0.000  0.000  0.500 x2
Tl  0.000  0.500  0.250 x2
Te  0.000  0.500  0.750 x2

Values from the calculation:
E_form (uncorrected): -0.52 eV per atom
Polymorph energy (0 for the lowest one): 40.2 kJ/mol of formula units
Spin magnetization: 0.00 μB/atom
Electronic total energy: -52.974 eV per atom

=====

No. 2
The following is a SCAN calculation of a PBEsol-optimized structure of Y3TlTe, from Alexandria.

a = 5.596 Å, b = 5.596 Å, c = 5.596 Å
α = 90.00°, β = 90.00°, γ = 90.00°
Space group Pm-3m (No. 221)
Inequivalent atoms, fractional coordinates:
Y  0.000  0.000  0.500 x3
Tl  0.000  0.000  0.000 x1
Te  0.500  0.500  0.500 x1

Values from the calculation:
E_form (uncorrected): -0.13 eV per atom
Spin magnetization: 0.33 μB/atom
Electronic total energy: -38.755 eV per atom

=====

No. 3
The following is a SCAN calculation of a PBEsol-optimized structure of TlZn2Te, from Alexandria.

a = 4.606 Å, b = 4.048 Å, c = 5.355 Å
α = 90.00°, β = 111.29°, γ = 90.00°
Space group Pm (No. 6)
Inequivalent atoms, fractional coordinates:
Tl  0.000  0.000  0.000 x1
Zn  0.559  0.000  0.458 x1
Zn  0.675  0.500  0.221 x1
Te  0.305  0.500  0.660 x1

Values from the calculation:
E_form (uncorrected): 0.06 eV per atom
Spin magnetization: 0.00 μB/atom
Electronic total energy: -34.104 eV per atom

=====

Number 2 is which compound?
Y3TlTe

=====

Repeat the third record exactly.
The following is a SCAN calculation of a PBEsol-optimized structure of TlZn2Te, from Alexandria.

a = 4.606 Å, b = 4.048 Å, c = 5.355 Å
α = 90.00°, β = 111.29°, γ = 90.00°
Space group Pm (No. 6)
Inequivalent atoms, fractional coordinates:
Tl  0.000  0.000  0.000 x1
Zn  0.559  0.000  0.458 x1
Zn  0.675  0.500  0.221 x1
Te  0.305  0.500  0.660 x1

Values from the calculation:
E_form (uncorrected): 0.06 eV per atom
Spin magnetization: 0.00 μB/atom
Electronic total energy: -34.104 eV per atom

=====

What is the spin magnetization in the first record?
0.00 μB/atom